# HfThTcAu

A relaxed structure of HfThTcAu (PBE, Alexandria via LeMat-Bulk).

ΔE_f = -0.23 eV/atom

a b c (Å): 4.9504 4.9504 4.9504
angles (deg): 60.00 60.00 60.00
Sites, in units of the cell vectors:
Au1 0.5000 0.5000 0.5000
Hf1 0.7500 0.7500 0.7500
Th1 0.2500 0.2500 0.2500
Tc1 0.0000 0.0000 0.0000